[1]
This record from Alexandria describes crystalline Na4ErPd3O8 at its relaxed geometry. The functional is PBE.

N(E_F) (states/eV/f.u.): 7.14
SG: C2/m (12)
Mass density (Mg/m³): 5.728
Formation energy (no corrections) (meV/atom): -1326
Magnetization (μB/cell): 1.02
Total DFT energy (no corrections) (eV per formula unit): -86.30

Lattice parameters (Å, degrees): 6.786 6.786 6.463 118.27 118.27 54.37
Atoms (fractional coordinates):
Na 0.000 0.000 0.000
Na 0.000 0.500 0.000
Na 0.500 0.000 0.000
Na 0.500 0.500 0.000
Er 0.000 0.000 0.500
Pd 0.000 0.500 0.500
Pd 0.500 0.000 0.500
Pd 0.500 0.500 0.500
O 0.226 0.226 0.685
O 0.242 0.712 0.251
O 0.288 0.758 0.749
O 0.298 0.298 0.348
O 0.702 0.702 0.652
O 0.712 0.242 0.251
O 0.758 0.288 0.749
O 0.774 0.774 0.315


[2]
This record from Alexandria describes crystalline Na2Er2PdO6 at its relaxed geometry. The functional is PBE.

SG: C2/m (12)
Mass density (Mg/m³): 6.074
Formation energy (no corrections) (meV/atom): -2148
Magnetization (μB/cell): 0.00
Total DFT energy (no corrections) (eV per formula unit): -70.33

Lattice parameters (Å, degrees): 5.698 5.698 5.868 97.29 97.29 120.14
Atoms (fractional coordinates):
Na 0.147 0.853 0.000
Na 0.853 0.147 0.000
Er 0.337 0.663 0.500
Er 0.663 0.337 0.500
Pd 0.000 0.000 0.500
O 0.043 0.362 0.694
O 0.251 0.251 0.299
O 0.362 0.043 0.694
O 0.638 0.957 0.306
O 0.749 0.749 0.701
O 0.957 0.638 0.306


[3]
This record from Alexandria describes crystalline Na3ErPd2O6 at its relaxed geometry. The functional is PBE.

N(E_F) (states/eV/f.u.): 2.59
SG: C2/m (12)
Mass density (Mg/m³): 6.046
Formation energy (no corrections) (meV/atom): -1471
Magnetization (μB/cell): 2.00
Total DFT energy (no corrections) (eV per formula unit): -66.30

Lattice parameters (Å, degrees): 5.638 5.638 5.780 98.34 98.34 121.45
Atoms (fractional coordinates):
Na 0.000 0.000 0.000
Na 0.325 0.675 0.000
Na 0.675 0.325 0.000
Er 0.500 0.500 0.500
Pd 0.165 0.835 0.500
Pd 0.835 0.165 0.500
O 0.077 0.413 0.289
O 0.235 0.235 0.726
O 0.413 0.077 0.289
O 0.587 0.923 0.711
O 0.765 0.765 0.274
O 0.923 0.587 0.711


[4]
This record from Alexandria describes crystalline Na3Pm2ErO6 at its relaxed geometry. The functional is PBE.

N(E_F) (states/eV/f.u.): 0.00
SG: C2/m (12)
Mass density (Mg/m³): 5.779
Formation energy (no corrections) (meV/atom): -2710
Magnetization (μB/cell): 0.00
Total DFT energy (no corrections) (eV per formula unit): -80.30

Lattice parameters (Å, degrees): 6.067 6.067 5.960 99.71 99.71 120.04
Atoms (fractional coordinates):
Na 0.000 0.000 0.000
Na 0.339 0.661 0.000
Na 0.661 0.339 0.000
Pm 0.167 0.833 0.500
Pm 0.833 0.167 0.500
Er 0.500 0.500 0.500
O 0.107 0.429 0.286
O 0.248 0.248 0.712
O 0.429 0.107 0.286
O 0.571 0.893 0.714
O 0.752 0.752 0.288
O 0.893 0.571 0.714